This record from the Alexandria database describes a geometry-optimized TbMgZnCo structure. The functional is PBE.

Calculated values
Size of the total moment: 0.7 μB/f.u.
E_tot: -3.73 eV/atom
Density: 6.9 Mg/m³
DOS(E_F): 0.88 states/eV per atom

The structure in POSCAR format:
```
TbMgZnCo
1.0
-0.706 -4.449 1.363
3.598 -3.033 0.088
1.713 -1.500 4.119
Tb Zn Mg Co
1 1 1 1
direct
0.250 0.250 0.250
0.500 0.500 0.500
0.750 0.750 0.750
0.000 0.000 0.000
```